Ce3Pa: relaxed, GGA-PBE.

```
Ce3Pa
1.0
3.2725 0.0000 0.0000
-1.6363 2.8341 0.0000
0.0000 0.0000 11.1059
Ce Pa
3 1
Cartesian
0.0000 0.0000 0.0000
1.6363 0.9447 2.7767
1.6363 0.9447 8.3292
0.0000 1.8894 5.5530
```

Results
energy relative to the elements: 0.07 eV per atom
magnetization: 0.00 μB per formula unit
ΔE to the lowest computed polymorph: 26 meV per atom
calculated volume: 25.751 Å³/atom
space-group type: P-6m2 (187)